No. 1
Compound: BaSrGaIr
Source: the Alexandria database
Functional: PBE
Structure: optimized geometry

Cell lengths 4.4093, 4.4093, 8.7448 Å; angles 90.11, 104.50, 119.96 degrees
Atoms (fractional coordinates):
Sr 0.0095 0.8684 0.8779
Ba 0.3441 0.0374 0.3814
Ga 0.8348 0.2821 0.1168
Ir 0.5037 0.6166 0.1204

**Density of states at the Fermi level**: 2.961 states/eV/f.u.
**Calculated total energy**: -17.180 eV for the cell shown

=====

No. 2
Compound: Ba2SrGa12Ir3
Source: the Alexandria database
Functional: PBE
Structure: optimized geometry

Cell lengths 8.6961, 8.6961, 8.6961 Å; angles 64.11, 64.11, 64.11 degrees
Atoms (fractional coordinates):
Ir 0.5000 0.0000 0.0000
Ga 0.5128 0.1668 0.1668
Ga 0.7322 0.7322 0.0753
Ir 0.0000 0.5000 0.0000
Ba 0.4113 0.4113 0.4113
Ga 0.8332 0.8332 0.4872
Ga 0.0753 0.7322 0.7322
Ga 0.9247 0.2678 0.2678
Ga 0.7322 0.0753 0.7322
Ga 0.4872 0.8332 0.8332
Ga 0.1668 0.1668 0.5128
Ga 0.2678 0.9247 0.2678
Sr 0.0000 0.0000 0.0000
Ir 0.0000 0.0000 0.5000
Ga 0.8332 0.4872 0.8332
Ba 0.5887 0.5887 0.5887
Ga 0.1668 0.5128 0.1668
Ga 0.2678 0.2678 0.9247

**Density of states at the Fermi level**: 11.596 states/eV/f.u.
**Calculated total energy**: -71.122 eV for the cell shown

=====

No. 3
Compound: BaSr2GaIr
Source: the Alexandria database
Functional: PBE
Structure: optimized geometry

Cell lengths 5.9115, 5.9115, 5.0100 Å; angles 90.00, 90.00, 90.00 degrees
Atoms (fractional coordinates):
Ir 0.0000 0.0000 0.0000
Ba 0.5000 0.5000 0.5000
Sr 0.5000 0.0000 0.0000
Ga 0.0000 0.0000 0.5000
Sr 0.0000 0.5000 0.0000

**Density of states at the Fermi level**: 3.804 states/eV/f.u.
**Calculated total energy**: -18.023 eV for the cell shown

=====

No. 4
Compound: Ba2TlGaIr
Source: the Alexandria database
Functional: PBE
Structure: optimized geometry

Cell lengths 6.1287, 6.1287, 4.8401 Å; angles 90.00, 90.00, 90.00 degrees
Atoms (fractional coordinates):
Ga 0.0000 0.0000 0.5000
Tl 0.5000 0.5000 0.5000
Ba 0.0000 0.5000 0.0000
Ir 0.0000 0.0000 0.0000
Ba 0.5000 0.0000 0.0000

**Density of states at the Fermi level**: 3.825 states/eV/f.u.
**Calculated total energy**: -19.367 eV for the cell shown

=====

No. 5
Compound: BaTlGa2Ir
Source: the Alexandria database
Functional: PBE
Structure: optimized geometry

Cell lengths 4.9213, 4.9213, 5.3360 Å; angles 90.00, 90.00, 90.00 degrees
Atoms (fractional coordinates):
Ga 0.5000 0.0000 0.0000
Ba 0.5000 0.5000 0.5000
Ir 0.0000 0.0000 0.0000
Ga 0.0000 0.5000 0.0000
Tl 0.0000 0.0000 0.5000

**Density of states at the Fermi level**: 1.886 states/eV/f.u.
**Calculated total energy**: -20.726 eV for the cell shown

=====

No. 6
Compound: BaZnGaIr
Source: the Alexandria database
Functional: PBE
Structure: optimized geometry

Cell lengths 5.0330, 4.7418, 4.8554 Å; angles 90.00, 90.00, 90.00 degrees
Atoms (fractional coordinates):
Zn 0.0000 0.0000 0.5000
Ir 0.0000 0.0000 0.0000
Ga 0.0000 0.5000 0.0000
Ba 0.5000 0.5000 0.5000

**Density of states at the Fermi level**: 2.140 states/eV/f.u.
**Calculated total energy**: -15.640 eV for the cell shown

=====

Number 1: calculated formation energy -422 meV/atom. Number 2: calculated formation energy -149 meV/atom. Number 3: calculated formation energy -170 meV/atom. Number 4: calculated formation energy -254 meV/atom. Number 5: calculated formation energy -305 meV/atom. Number 6: calculated formation energy -139 meV/atom.